(1)
Computed, not measured: BaTm2Cd2In2 after structural relaxation at the GGA-PBE level of DFT.

a = 10.059 Å, b = 10.059 Å, c = 10.059 Å
α = 29.09°, β = 29.09°, γ = 29.09°
Atoms (fractional coordinates):
Ba 0.000 0.000 0.000
Tm 0.137 0.137 0.137
Tm 0.863 0.863 0.863
Cd 0.440 0.440 0.440
Cd 0.560 0.560 0.560
In 0.251 0.251 0.251
In 0.749 0.749 0.749

Values from the calculation:
The uncorrected energy is -2.90 eV/atom.

***

(2)
Computed, not measured: InReAg after structural relaxation at the GGA-PBE level of DFT.

a = 4.535 Å, b = 4.535 Å, c = 4.535 Å
α = 60.00°, β = 60.00°, γ = 60.00°
Atoms (fractional coordinates):
In 0.000 0.000 0.000
Re 0.750 0.750 0.750
Ag 0.500 0.500 0.500

Values from the calculation:
The calculation puts the distance to the lowest polymorph of the same formula at 0.5424 eV per atom. The uncorrected energy is -4.89 eV/atom.

***

(3)
Computed, not measured: LaMgGe2Rh5 after structural relaxation at the GGA-PBE level of DFT.

a = 4.610 Å, b = 4.610 Å, c = 7.534 Å
α = 90.00°, β = 90.00°, γ = 90.00°
Atoms (fractional coordinates):
La 0.000 0.000 0.000
Mg 0.000 0.000 0.500
Ge 0.500 0.500 0.331
Ge 0.500 0.500 0.669
Rh 0.000 0.500 0.270
Rh 0.000 0.500 0.730
Rh 0.500 0.000 0.270
Rh 0.500 0.000 0.730
Rh 0.500 0.500 0.000

Values from the calculation:
The uncorrected energy is -6.27 eV/atom.

***

(4)
Computed, not measured: Er3GaCu8 after structural relaxation at the GGA-PBE level of DFT.

a = 8.916 Å, b = 8.916 Å, c = 8.916 Å
α = 33.39°, β = 33.39°, γ = 33.39°
Atoms (fractional coordinates):
Er 0.000 0.000 0.000
Er 0.127 0.127 0.127
Er 0.613 0.613 0.613
Ga 0.489 0.489 0.489
Cu 0.056 0.056 0.564
Cu 0.056 0.564 0.056
Cu 0.060 0.559 0.559
Cu 0.308 0.308 0.308
Cu 0.559 0.060 0.559
Cu 0.559 0.559 0.060
Cu 0.564 0.056 0.056
Cu 0.810 0.810 0.810

Values from the calculation:
The uncorrected energy is -4.35 eV/atom.

***

Number 1: ΔH_f (0 K) -2.142 eV per formula unit, theoretical density 7.25 g/cm³, N(E_F) 0.3592 states/eV/atom. Number 2: ΔH_f (0 K) 3.371 eV per formula unit, theoretical density 10.30 g/cm³, N(E_F) 0.6577 states/eV/atom. Number 3: ΔH_f (0 K) -3.908 eV per formula unit, theoretical density 8.54 g/cm³, N(E_F) 0.1461 states/eV/atom. Number 4: ΔH_f (0 K) -2.743 eV per formula unit, theoretical density 9.38 g/cm³, N(E_F) 0.6727 states/eV/atom.